(1)
{"formula": "HfCu2SeS2", "functional": "PBE", "state": "optimized geometry", "lattice_angstrom": [[9.314, -1.888, 0.000], [9.314, 1.888, 0.000], [-0.763, 0.000, 6.766]], "species": ["Cu", "Cu", "Cu", "Cu", "S", "S", "S", "S", "Hf", "Hf", "Se", "Se"], "frac_coords": [[0.297, 0.297, 0.051], [0.959, 0.959, 0.326], [0.703, 0.703, 0.949], [0.041, 0.041, 0.674], [0.085, 0.085, 0.352], [0.915, 0.915, 0.648], [0.419, 0.419, 0.155], [0.581, 0.581, 0.845], [0.356, 0.356, 0.451], [0.644, 0.644, 0.549], [0.754, 0.754, 0.286], [0.246, 0.246, 0.714]], "total_energy_ev_per_atom": -5.689, "e_above_lowest_polymorph_ev_per_atom": 0.000}

(2)
{"formula": "HfCu2SeS2", "functional": "PBE", "state": "optimized geometry", "lattice_angstrom": [[-9.139, 0.889, -2.101], [-8.860, -2.821, -1.505], [-0.823, 0.989, 6.537]], "species": ["Hf", "Hf", "S", "S", "S", "S", "Cu", "Cu", "Cu", "Cu", "Se", "Se"], "frac_coords": [[0.349, 0.349, 0.448], [0.651, 0.651, 0.552], [0.089, 0.089, 0.353], [0.244, 0.244, 0.712], [0.911, 0.911, 0.647], [0.756, 0.756, 0.288], [0.041, 0.041, 0.665], [0.295, 0.295, 0.030], [0.959, 0.959, 0.335], [0.705, 0.705, 0.970], [0.579, 0.579, 0.871], [0.421, 0.421, 0.129]], "total_energy_ev_per_atom": -5.677, "e_above_lowest_polymorph_ev_per_atom": 0.012}

(3)
{"formula": "HfTlCuSe2S", "functional": "PBE", "state": "optimized geometry", "lattice_angstrom": [[1.909, -7.334, 0.000], [1.909, 7.334, 0.000], [0.000, 0.000, 9.861]], "species": ["Cu", "Cu", "S", "S", "Se", "Se", "Se", "Se", "Tl", "Tl", "Hf", "Hf"], "frac_coords": [[0.965, 0.035, 0.750], [0.035, 0.965, 0.250], [0.444, 0.556, 0.250], [0.556, 0.444, 0.750], [0.127, 0.873, 0.455], [0.873, 0.127, 0.955], [0.127, 0.873, 0.045], [0.873, 0.127, 0.545], [0.243, 0.757, 0.750], [0.757, 0.243, 0.250], [0.500, 0.500, 0.000], [0.500, 0.500, 0.500]], "total_energy_ev_per_atom": -5.437}

(4)
{"formula": "HfCu2Te2S", "functional": "PBE", "state": "optimized geometry", "lattice_angstrom": [[10.170, -1.986, 0.000], [10.170, 1.986, 0.000], [-1.497, 0.000, 7.059]], "species": ["S", "S", "Hf", "Hf", "Te", "Te", "Te", "Te", "Cu", "Cu", "Cu", "Cu"], "frac_coords": [[0.406, 0.406, 0.687], [0.594, 0.594, 0.313], [0.643, 0.643, 0.039], [0.357, 0.357, 0.961], [0.250, 0.250, 0.214], [0.073, 0.073, 0.794], [0.750, 0.750, 0.786], [0.927, 0.927, 0.206], [0.710, 0.710, 0.424], [0.290, 0.290, 0.576], [0.052, 0.052, 0.150], [0.948, 0.948, 0.850]], "total_energy_ev_per_atom": -5.232, "e_above_lowest_polymorph_ev_per_atom": 0.023}

(5)
{"formula": "HfCu2Te2S", "functional": "PBE", "state": "optimized geometry", "lattice_angstrom": [[-7.727, -6.305, -0.373], [-4.684, -8.716, -1.306], [1.519, -0.772, 6.953]], "species": ["S", "S", "Te", "Te", "Te", "Te", "Hf", "Hf", "Cu", "Cu", "Cu", "Cu"], "frac_coords": [[0.084, 0.084, 0.374], [0.916, 0.916, 0.626], [0.249, 0.249, 0.711], [0.422, 0.422, 0.119], [0.578, 0.578, 0.881], [0.751, 0.751, 0.289], [0.362, 0.362, 0.451], [0.638, 0.638, 0.549], [0.712, 0.712, 0.924], [0.959, 0.959, 0.337], [0.041, 0.041, 0.663], [0.288, 0.288, 0.076]], "total_energy_ev_per_atom": -5.255, "e_above_lowest_polymorph_ev_per_atom": 0.000}

(6)
{"formula": "HfTlCuTe2S", "functional": "PBE", "state": "optimized geometry", "lattice_angstrom": [[-4.684, 5.357, -3.538], [3.257, -7.240, 0.357], [-7.807, -3.245, 5.422]], "species": ["Tl", "Tl", "Te", "Te", "Te", "Te", "S", "S", "Cu", "Cu", "Hf", "Hf"], "frac_coords": [[0.233, 0.767, 0.250], [0.767, 0.233, 0.750], [0.135, 0.865, 0.547], [0.865, 0.135, 0.047], [0.865, 0.135, 0.453], [0.135, 0.865, 0.953], [0.449, 0.551, 0.750], [0.551, 0.449, 0.250], [0.029, 0.971, 0.750], [0.971, 0.029, 0.250], [0.500, 0.500, 0.500], [0.500, 0.500, 0.000]], "total_energy_ev_per_atom": -5.083}

(7)
{"formula": "HfTlCuS3", "functional": "PBE", "state": "optimized geometry", "lattice_angstrom": [[-6.245, -3.024, -2.449], [-3.911, -3.257, -5.314], [2.989, -8.722, 3.145]], "species": ["S", "S", "S", "S", "S", "S", "Hf", "Hf", "Tl", "Tl", "Cu", "Cu"], "frac_coords": [[0.622, 0.622, 0.547], [0.940, 0.940, 0.750], [0.378, 0.378, 0.047], [0.060, 0.060, 0.250], [0.622, 0.622, 0.953], [0.378, 0.378, 0.453], [0.000, 0.000, 0.500], [0.000, 0.000, 0.000], [0.745, 0.745, 0.250], [0.255, 0.255, 0.750], [0.459, 0.459, 0.250], [0.541, 0.541, 0.750]], "total_energy_ev_per_atom": -5.740}

(8)
{"formula": "HfTlCuS3", "functional": "PBE", "state": "optimized geometry", "lattice_angstrom": [[14.575, 0.000, 0.000], [0.000, 3.731, 0.000], [0.000, 0.000, 9.940]], "species": ["Cu", "Cu", "Cu", "Cu", "S", "S", "S", "S", "S", "S", "S", "S", "S", "S", "S", "S", "Tl", "Tl", "Tl", "Tl", "Hf", "Hf", "Hf", "Hf"], "frac_coords": [[0.011, 0.250, 0.407], [0.989, 0.750, 0.593], [0.489, 0.750, 0.907], [0.511, 0.250, 0.093], [0.586, 0.250, 0.876], [0.588, 0.750, 0.568], [0.624, 0.250, 0.259], [0.914, 0.750, 0.376], [0.414, 0.750, 0.124], [0.376, 0.750, 0.741], [0.088, 0.750, 0.932], [0.412, 0.250, 0.432], [0.876, 0.750, 0.759], [0.086, 0.250, 0.624], [0.124, 0.250, 0.241], [0.912, 0.250, 0.068], [0.233, 0.750, 0.467], [0.733, 0.750, 0.033], [0.767, 0.250, 0.533], [0.267, 0.250, 0.967], [0.987, 0.250, 0.828], [0.513, 0.750, 0.328], [0.013, 0.750, 0.172], [0.487, 0.250, 0.672]], "total_energy_ev_per_atom": -5.736}

(9)
{"formula": "Hf3Cu4Sb4", "functional": "PBE", "state": "optimized geometry", "lattice_angstrom": [[-3.066, 3.066, 6.080], [3.066, -3.066, 6.080], [3.066, 3.066, -6.080]], "species": ["Hf", "Hf", "Hf", "Cu", "Cu", "Cu", "Cu", "Sb", "Sb", "Sb", "Sb"], "frac_coords": [[0.250, 0.750, 0.500], [0.000, 0.000, 0.000], [0.750, 0.250, 0.500], [0.617, 0.154, 0.000], [0.383, 0.383, 0.536], [0.846, 0.846, 0.464], [0.154, 0.617, 0.000], [0.500, 0.000, 0.500], [0.250, 0.250, 0.000], [0.750, 0.750, 0.000], [0.000, 0.500, 0.500]], "total_energy_ev_per_atom": -5.714}

(10)
{"formula": "Hf5CuSb3", "functional": "PBE", "state": "optimized geometry", "lattice_angstrom": [[-7.752, -0.115, 3.619], [6.440, -4.382, 3.541], [1.402, 4.604, 3.149]], "species": ["Sb", "Sb", "Sb", "Sb", "Sb", "Sb", "Hf", "Hf", "Hf", "Hf", "Hf", "Hf", "Hf", "Hf", "Hf", "Hf", "Cu", "Cu"], "frac_coords": [[0.615, 0.000, 0.250], [0.385, 0.385, 0.250], [0.000, 0.385, 0.750], [0.615, 0.615, 0.750], [0.000, 0.615, 0.250], [0.385, 0.000, 0.750], [0.000, 0.735, 0.750], [0.265, 0.265, 0.750], [0.000, 0.265, 0.250], [0.735, 0.735, 0.250], [0.333, 0.667, 0.000], [0.667, 0.333, 0.000], [0.265, 0.000, 0.250], [0.667, 0.333, 0.500], [0.333, 0.667, 0.500], [0.735, 0.000, 0.750], [0.000, 0.000, 0.000], [0.000, 0.000, 0.500]], "total_energy_ev_per_atom": -7.802}

(11)
{"formula": "Hf2CuSb", "functional": "PBE", "state": "optimized geometry", "lattice_angstrom": [[0.000, 3.408, 3.408], [3.408, 0.000, 3.408], [3.408, 3.408, 0.000]], "species": ["Sb", "Hf", "Hf", "Cu"], "frac_coords": [[0.500, 0.500, 0.500], [0.000, 0.000, 0.000], [0.750, 0.750, 0.750], [0.250, 0.250, 0.250]], "total_energy_ev_per_atom": -6.629}

(12)
{"formula": "HfCu2Sb", "functional": "PBE", "state": "optimized geometry", "lattice_angstrom": [[-2.175, -3.407, 2.248], [0.641, -0.548, 4.548], [-3.418, 0.992, 2.953]], "species": ["Sb", "Cu", "Cu", "Hf"], "frac_coords": [[0.500, 0.500, 0.500], [0.000, 0.000, 0.000], [0.750, 0.750, 0.750], [0.250, 0.250, 0.250]], "total_energy_ev_per_atom": -5.262}

(13)
{"formula": "HfScCuSb", "functional": "PBE", "state": "optimized geometry", "lattice_angstrom": [[0.000, 3.418, 3.418], [3.418, 0.000, 3.418], [3.418, 3.418, 0.000]], "species": ["Hf", "Sb", "Sc", "Cu"], "frac_coords": [[0.250, 0.250, 0.250], [0.000, 0.000, 0.000], [0.500, 0.500, 0.500], [0.750, 0.750, 0.750]], "total_energy_ev_per_atom": -5.842, "e_above_lowest_polymorph_ev_per_atom": 0.000}

(14)
{"formula": "HfCuTcSb", "functional": "PBE", "state": "optimized geometry", "lattice_angstrom": [[-0.996, -4.068, -1.965], [-2.945, -2.909, 2.068], [-4.193, -0.726, -1.817]], "species": ["Cu", "Hf", "Sb", "Tc"], "frac_coords": [[0.750, 0.750, 0.750], [0.250, 0.250, 0.250], [0.000, 0.000, 0.000], [0.500, 0.500, 0.500]], "total_energy_ev_per_atom": -6.809, "e_above_lowest_polymorph_ev_per_atom": 0.294}

(15)
{"formula": "HfCuTcSb", "functional": "PBE", "state": "optimized geometry", "lattice_angstrom": [[0.000, 3.237, 3.237], [3.237, 0.000, 3.237], [3.237, 3.237, 0.000]], "species": ["Sb", "Tc", "Hf", "Cu"], "frac_coords": [[0.000, 0.000, 0.000], [0.250, 0.250, 0.250], [0.500, 0.500, 0.500], [0.750, 0.750, 0.750]], "total_energy_ev_per_atom": -7.103, "e_above_lowest_polymorph_ev_per_atom": 0.000}

(16)
{"formula": "HfCuSbW", "functional": "PBE", "state": "optimized geometry", "lattice_angstrom": [[0.000, 3.285, 3.285], [3.285, 0.000, 3.285], [3.285, 3.285, 0.000]], "species": ["W", "Hf", "Sb", "Cu"], "frac_coords": [[0.250, 0.250, 0.250], [0.500, 0.500, 0.500], [0.000, 0.000, 0.000], [0.750, 0.750, 0.750]], "total_energy_ev_per_atom": -7.343, "e_above_lowest_polymorph_ev_per_atom": 0.000}

(17)
{"formula": "YHfCuSb", "functional": "PBE", "state": "optimized geometry", "lattice_angstrom": [[0.000, 3.510, 3.510], [3.510, 0.000, 3.510], [3.510, 3.510, 0.000]], "species": ["Y", "Hf", "Cu", "Sb"], "frac_coords": [[0.500, 0.500, 0.500], [0.250, 0.250, 0.250], [0.750, 0.750, 0.750], [0.000, 0.000, 0.000]], "total_energy_ev_per_atom": -5.841, "e_above_lowest_polymorph_ev_per_atom": 0.000}

(18)
{"formula": "HfZrCuSb", "functional": "PBE", "state": "optimized geometry", "lattice_angstrom": [[-4.501, -1.703, 0.470], [-3.597, 2.985, 1.238], [-3.384, 1.184, -3.244]], "species": ["Hf", "Cu", "Zr", "Sb"], "frac_coords": [[0.500, 0.500, 0.500], [0.750, 0.750, 0.750], [0.250, 0.250, 0.250], [0.000, 0.000, 0.000]], "total_energy_ev_per_atom": -6.352, "e_above_lowest_polymorph_ev_per_atom": 0.000}

(19)
{"formula": "Hf3Zr3CuSb2", "functional": "PBE", "state": "optimized geometry", "lattice_angstrom": [[7.693, 0.000, 0.000], [-3.847, 6.662, 0.000], [0.000, 0.000, 3.743]], "species": ["Cu", "Sb", "Sb", "Hf", "Hf", "Hf", "Zr", "Zr", "Zr"], "frac_coords": [[0.000, 0.000, 0.000], [0.333, 0.667, 0.500], [0.667, 0.333, 0.500], [0.240, 0.000, 0.500], [0.000, 0.240, 0.500], [0.760, 0.760, 0.500], [0.402, 0.402, 0.000], [0.000, 0.598, 0.000], [0.598, 0.000, 0.000]], "total_energy_ev_per_atom": -7.988, "e_above_lowest_polymorph_ev_per_atom": 0.000}

(20)
{"formula": "Hf3Zr3CuSb2", "functional": "PBE", "state": "optimized geometry", "lattice_angstrom": [[7.733, 0.000, 0.000], [-3.867, 6.697, 0.000], [0.000, 0.000, 3.716]], "species": ["Cu", "Sb", "Sb", "Zr", "Zr", "Zr", "Hf", "Hf", "Hf"], "frac_coords": [[0.000, 0.000, 0.000], [0.333, 0.667, 0.500], [0.667, 0.333, 0.500], [0.246, 0.000, 0.500], [0.000, 0.246, 0.500], [0.754, 0.754, 0.500], [0.000, 0.600, 0.000], [0.600, 0.000, 0.000], [0.400, 0.400, 0.000]], "total_energy_ev_per_atom": -7.901, "e_above_lowest_polymorph_ev_per_atom": 0.087}

(21)
{"formula": "HfScCu", "functional": "PBE", "state": "optimized geometry", "lattice_angstrom": [[-0.265, -1.934, 2.514], [-1.478, -2.157, -1.815], [9.900, -4.650, -2.535]], "species": ["Sc", "Sc", "Cu", "Cu", "Hf", "Hf"], "frac_coords": [[0.500, 0.500, 0.847], [0.500, 0.500, 0.153], [0.000, 0.000, 0.000], [0.500, 0.500, 0.500], [0.000, 0.000, 0.348], [0.000, 0.000, 0.652]], "total_energy_ev_per_atom": -6.767, "formation_enthalpy_0k_mev_per_atom": -100, "e_above_lowest_polymorph_ev_per_atom": 0.038}

(22)
{"formula": "HfScCu2", "functional": "PBE", "state": "optimized geometry", "lattice_angstrom": [[3.163, -2.230, -2.336], [-0.470, -4.427, -0.784], [-0.895, -1.473, -4.179]], "species": ["Sc", "Cu", "Cu", "Hf"], "frac_coords": [[0.500, 0.500, 0.500], [0.000, 0.000, 0.000], [0.750, 0.750, 0.750], [0.250, 0.250, 0.250]], "total_energy_ev_per_atom": -5.747, "formation_enthalpy_0k_mev_per_atom": 182}

(23)
{"formula": "Hf3ScCu2", "functional": "PBE", "state": "optimized geometry", "lattice_angstrom": [[-3.141, -0.080, 0.339], [0.310, -2.042, 2.392], [0.565, 8.592, 7.261]], "species": ["Hf", "Hf", "Hf", "Cu", "Cu", "Sc"], "frac_coords": [[0.500, 0.500, 0.658], [0.000, 0.000, 0.842], [0.500, 0.500, 0.348], [0.500, 0.500, 0.997], [0.000, 0.000, 0.501], [0.000, 0.000, 0.155]], "total_energy_ev_per_atom": -7.407, "formation_enthalpy_0k_mev_per_atom": -135}

(24)
{"formula": "HfSc3Cu2", "functional": "PBE", "state": "optimized geometry", "lattice_angstrom": [[-1.888, 1.722, 1.940], [-2.586, -1.063, -1.573], [-0.707, -8.747, 7.076]], "species": ["Sc", "Sc", "Sc", "Cu", "Cu", "Hf"], "frac_coords": [[0.500, 0.500, 0.355], [0.000, 0.000, 0.146], [0.500, 0.500, 0.654], [0.000, 0.000, 0.499], [0.500, 0.500, 0.998], [0.000, 0.000, 0.848]], "total_energy_ev_per_atom": -6.185, "formation_enthalpy_0k_mev_per_atom": -122}